1.
Below is a geometry-optimized ScCr2Pb2 structure, with properties calculated at the PBE-GGA level.

Unit cell a=7.836 b=7.836 c=3.262 alpha=90.00 beta=90.00 gamma=90.00
Sites, in units of the cell vectors:
1 Cr 0.590 0.090 0.000
2 Cr 0.090 0.410 0.000
3 Cr 0.910 0.590 0.000
4 Cr 0.410 0.910 0.000
5 Sc 0.500 0.500 0.000
6 Sc 0.000 0.000 0.000
7 Pb 0.807 0.307 0.500
8 Pb 0.193 0.693 0.500
9 Pb 0.693 0.807 0.500
10 Pb 0.307 0.193 0.500

- Energy relative to the elements: 492.2 meV/atom
- ΔE to the lowest computed polymorph: 0.36 eV/f.u.
- Size of the total moment: 0.6 μB/f.u.
- DOS(E_F): 0.93 states/eV per atom
- Space group: P4/mbm

=====

2.
Below is a geometry-optimized AcCdBPd6 structure, with properties calculated at the PBE-GGA level.

Unit cell a=5.946 b=9.319 c=8.090 alpha=125.17 beta=111.56 gamma=90.00
Sites, in units of the cell vectors:
1 Pd 0.536 0.286 0.073
2 Pd 0.868 0.114 0.244
3 Pd 0.624 0.886 0.756
4 Pd 0.624 0.370 0.756
5 Pd 0.868 0.630 0.244
6 Pd 0.055 0.805 0.109
7 Pd 0.945 0.195 0.891
8 Pd 0.376 0.114 0.244
9 Pd 0.376 0.630 0.244
10 Pd 0.132 0.886 0.756
11 Pd 0.132 0.370 0.756
12 Pd 0.464 0.714 0.927
13 Ac 0.180 0.430 0.360
14 Ac 0.820 0.570 0.640
15 B 0.500 0.000 0.000
16 B 0.500 0.500 0.000
17 Cd 0.500 0.000 0.500
18 Cd 0.000 0.000 0.500

- Energy relative to the elements: -285.8 meV/atom
- Size of the total moment: 0.0 μB/f.u.
- DOS(E_F): 0.33 states/eV per atom
- Space group: Imma

=====

3.
Below is a geometry-optimized Ho2TmAl structure, with properties calculated at the PBE-GGA level.

Unit cell a=5.277 b=6.769 c=6.769 alpha=120.09 beta=90.00 gamma=90.00
Sites, in units of the cell vectors:
1 Ho 0.500 0.174 0.826
2 Ho 0.000 0.348 0.175
3 Ho 0.000 0.825 0.652
4 Ho 0.000 0.826 0.174
5 Tm 0.500 0.652 0.826
6 Tm 0.500 0.174 0.348
7 Al 0.500 0.666 0.334
8 Al 0.000 0.334 0.666

- Energy relative to the elements: -200.2 meV/atom
- ΔE to the lowest computed polymorph: 0.00 eV/f.u.
- Size of the total moment: 0.0 μB/f.u.
- DOS(E_F): 1.04 states/eV per atom
- Space group: Amm2